<A>
DFT (GGA-PBE) results for a relaxed structure of Cu2TeP.

The density of states at the Fermi level is 3.84 states/eV per cell. For the spin magnetization, the calculation gives 0.00 μB per formula unit.

It has space group C2/m (No. 12), with a = 6.328 Å, b = 3.824 Å, c = 6.136 Å, α = 90.00°, β = 113.15° and γ = 90.00°. The inequivalent atoms are Cu at (0.227, 0.000, 0.190), Te at (0.000, 0.000, 0.500) and P at (0.000, 0.500, 0.000).

---

<B>
DFT (GGA-PBE) results for a relaxed structure of Cu2TeP.

The density of states at the Fermi level is 5.15 states/eV per cell. For the spin magnetization, the calculation gives 0.00 μB per formula unit.

It has space group Cmmm (No. 65), with a = 5.454 Å, b = 7.066 Å, c = 3.542 Å, α = 90.00°, β = 90.00° and γ = 90.00°. The inequivalent atoms are Cu at (0.250, 0.250, 0.000), Te at (0.000, 0.000, 0.500) and P at (0.000, 0.500, 0.500).

---

Energies relative to the most stable structure are <A> 0.000; <B> 0.308, reported in eV/atom.

---

<A>
DFT (GGA-PBE) results for a relaxed structure of CuTe3P.

The density of states at the Fermi level is 3.93 states/eV per cell. For the spin magnetization, the calculation gives 0.00 μB per formula unit.

It has space group Pm-3m (No. 221), with a = 5.189 Å, b = 5.189 Å, c = 5.189 Å, α = 90.00°, β = 90.00° and γ = 90.00°. The inequivalent atoms are Cu at (0.000, 0.000, 0.000), Te at (0.000, 0.500, 0.500) and P at (0.500, 0.500, 0.500).

---

<B>
DFT (GGA-PBE) results for a relaxed structure of CuTe3P.

The density of states at the Fermi level is 4.69 states/eV per cell. For the spin magnetization, the calculation gives 0.00 μB per formula unit.

It has space group Pm-3m (No. 221), with a = 5.051 Å, b = 5.051 Å, c = 5.051 Å, α = 90.00°, β = 90.00° and γ = 90.00°. The inequivalent atoms are Cu at (0.000, 0.000, 0.000), Te at (0.000, 0.000, 0.500) and P at (0.500, 0.500, 0.500).

---

Energies relative to the most stable structure are <A> 0.000; <B> 0.011, reported in eV/atom.

---

<A>
DFT (GGA-PBE) results for a relaxed structure of Ti2Cu2P.

The density of states at the Fermi level is 9.62 states/eV per cell. For the spin magnetization, the calculation gives 0.00 μB per formula unit.

It has space group P4/mbm (No. 127), with a = 6.006 Å, b = 6.006 Å, c = 3.940 Å, α = 90.00°, β = 90.00° and γ = 90.00°. The inequivalent atoms are Ti at (0.166, 0.334, 0.000), Cu at (0.138, 0.638, 0.500) and P at (0.000, 0.000, 0.500).

---

<B>
DFT (GGA-PBE) results for a relaxed structure of Ti2Cu2P.

The density of states at the Fermi level is 8.83 states/eV per cell. For the spin magnetization, the calculation gives 1.97 μB per formula unit.

It has space group I4/mmm (No. 139), with a = 3.248 Å, b = 3.248 Å, c = 14.332 Å, α = 90.00°, β = 90.00° and γ = 90.00°. The inequivalent atoms are Ti at (0.000, 0.000, 0.094), Cu at (0.000, 0.500, 0.250) and P at (0.000, 0.000, 0.500).

---

<C>
DFT (GGA-PBE) results for a relaxed structure of Ti2Cu2P.

The density of states at the Fermi level is 8.71 states/eV per cell. For the spin magnetization, the calculation gives 0.00 μB per formula unit.

It has space group P4/mbm (No. 127), with a = 6.347 Å, b = 6.347 Å, c = 3.899 Å, α = 90.00°, β = 90.00° and γ = 90.00°. The inequivalent atoms are Ti at (0.160, 0.340, 0.000), Cu at (0.136, 0.636, 0.500) and P at (0.000, 0.000, 0.000).

---

Energies relative to the most stable structure are <A> 0.000; <B> 0.072; <C> 0.062, reported in eV/atom.

---

<A>
DFT (GGA-PBE) results for a relaxed structure of TlCuP2.

The density of states at the Fermi level is 10.08 states/eV per cell. For the spin magnetization, the calculation gives 0.00 μB per formula unit.

It has space group I-42d (No. 122), with a = 5.630 Å, b = 5.630 Å, c = 11.321 Å, α = 90.00°, β = 90.00° and γ = 90.00°. The inequivalent atoms are Tl at (0.000, 0.000, 0.000), Cu at (0.000, 0.000, 0.500) and P at (0.185, 0.250, 0.625).

---

<B>
DFT (GGA-PBE) results for a relaxed structure of TlCuP2.

The density of states at the Fermi level is 2.94 states/eV per cell. For the spin magnetization, the calculation gives 0.00 μB per formula unit.

It has space group C2/m (No. 12), with a = 5.324 Å, b = 7.473 Å, c = 4.480 Å, α = 90.00°, β = 122.70° and γ = 90.00°. The inequivalent atoms are Tl at (0.000, 0.000, 0.000), Cu at (0.000, 0.500, 0.000) and P at (0.250, 0.250, 0.500).

---

<C>
DFT (GGA-PBE) results for a relaxed structure of TlCuP2.

The density of states at the Fermi level is 3.00 states/eV per cell. For the spin magnetization, the calculation gives 0.00 μB per formula unit.

It has space group I4/mmm (No. 139), with a = 3.670 Å, b = 3.670 Å, c = 11.047 Å, α = 90.00°, β = 90.00° and γ = 90.00°. The inequivalent atoms are Tl at (0.000, 0.000, 0.000), Cu at (0.000, 0.000, 0.500) and P at (0.000, 0.500, 0.250).

---

Energies relative to the most stable structure are <A> 0.000; <B> 0.226; <C> 0.321, reported in eV/atom.

---

<A>
DFT (GGA-PBE) results for a relaxed structure of TlCuP2.

The density of states at the Fermi level is 2.91 states/eV per cell. For the spin magnetization, the calculation gives 0.00 μB per formula unit.

It has space group P4/mmm (No. 123), with a = 3.604 Å, b = 3.604 Å, c = 5.945 Å, α = 90.00°, β = 90.00° and γ = 90.00°. The inequivalent atoms are Tl at (0.000, 0.000, 0.000), Cu at (0.500, 0.500, 0.000) and P at (0.000, 0.500, 0.500).

---

<B>
DFT (GGA-PBE) results for a relaxed structure of TlCuP2.

The density of states at the Fermi level is 1.37 states/eV per cell. For the spin magnetization, the calculation gives 0.00 μB per formula unit.

It has space group P2/m (No. 10), with a = 4.133 Å, b = 3.767 Å, c = 5.591 Å, α = 90.00°, β = 103.45° and γ = 90.00°. The inequivalent atoms are Tl at (0.000, 0.000, 0.000), Cu at (0.500, 0.000, 0.500) and P at (0.250, 0.500, 0.620).

---

Energies relative to the most stable structure are <A> 0.555; <B> 0.000, reported in eV/atom.

---

<A>
DFT (GGA-PBE) results for a relaxed structure of TlCuP2.

The density of states at the Fermi level is 7.84 states/eV per cell. For the spin magnetization, the calculation gives 0.00 μB per formula unit.

It has space group R-3m (No. 166, hexagonal axes), with a = 3.7386 Å, b = 3.7386 Å, c = 19.1516 Å, α = 90.00°, β = 90.00° and γ = 120.00°. The inequivalent atoms are Tl at (0.0000, 0.0000, 0.0000), Cu at (0.0000, 0.0000, 0.5000) and P at (0.0000, 0.0000, 0.2188).

---

<B>
DFT (GGA-PBE) results for a relaxed structure of TlCuP2.

The density of states at the Fermi level is 4.66 states/eV per cell. For the spin magnetization, the calculation gives 0.00 μB per formula unit.

It has space group Imm2 (No. 44), with a = 3.277 Å, b = 5.996 Å, c = 8.281 Å, α = 90.00°, β = 90.00° and γ = 90.00°. The inequivalent atoms are Tl at (0.000, 0.000, 0.000), Cu at (0.000, 0.500, 0.213), P at (0.000, 0.000, 0.509) and P at (0.000, 0.500, 0.829).

---

<C>
DFT (GGA-PBE) results for a relaxed structure of TlCuP2.

The density of states at the Fermi level is 0.98 states/eV per cell. For the spin magnetization, the calculation gives 0.00 μB per formula unit.

It has space group Pm (No. 6), with a = 4.558 Å, b = 3.244 Å, c = 5.965 Å, α = 90.00°, β = 105.69° and γ = 90.00°. The inequivalent atoms are Tl at (0.000, 0.000, 0.000), Cu at (0.344, 0.500, 0.696), P at (0.539, 0.000, 0.463) and P at (0.861, 0.500, 0.455).

---

Energies relative to the most stable structure are <A> 0.054; <B> 0.215; <C> 0.000, reported in eV/atom.

---

<A>
DFT (GGA-PBE) results for a relaxed structure of TlCuP2.

The density of states at the Fermi level is 1.50 states/eV per cell. For the spin magnetization, the calculation gives 0.00 μB per formula unit.

It has space group P4mm (No. 99), with a = 3.211 Å, b = 3.211 Å, c = 7.165 Å, α = 90.00°, β = 90.00° and γ = 90.00°. The inequivalent atoms are Tl at (0.000, 0.000, 0.000), Cu at (0.500, 0.500, 0.279), P at (0.000, 0.000, 0.471) and P at (0.500, 0.500, 0.606).

---

<B>
DFT (GGA-PBE) results for a relaxed structure of TlCuP2.

The density of states at the Fermi level is 1.37 states/eV per cell. For the spin magnetization, the calculation gives 0.00 μB per formula unit.

It has space group P4/mmm (No. 123), with a = 3.370 Å, b = 3.370 Å, c = 6.875 Å, α = 90.00°, β = 90.00° and γ = 90.00°. The inequivalent atoms are Tl at (0.000, 0.000, 0.000), Cu at (0.000, 0.000, 0.500) and P at (0.500, 0.500, 0.347).

---

<C>
DFT (GGA-PBE) results for a relaxed structure of TlCuP2.

The density of states at the Fermi level is 2.18 states/eV per cell. For the spin magnetization, the calculation gives 0.00 μB per formula unit.

It has space group C2/m (No. 12), with a = 7.664 Å, b = 3.422 Å, c = 6.454 Å, α = 90.00°, β = 98.89° and γ = 90.00°. The inequivalent atoms are Tl at (0.000, 0.000, 0.000), Cu at (0.000, 0.500, 0.500) and P at (0.240, 0.000, 0.627).

---

<D>
DFT (GGA-PBE) results for a relaxed structure of TlCuP2.

The density of states at the Fermi level is 4.04 states/eV per cell. For the spin magnetization, the calculation gives 0.00 μB per formula unit.

It has space group I-4m2 (No. 119), with a = 4.337 Å, b = 4.337 Å, c = 7.677 Å, α = 90.00°, β = 90.00° and γ = 90.00°. The inequivalent atoms are Tl at (0.000, 0.000, 0.000), Cu at (0.000, 0.500, 0.750), P at (0.000, 0.000, 0.500) and P at (0.000, 0.500, 0.250).

---

Energies relative to the most stable structure are <A> 0.151; <B> 0.068; <C> 0.000; <D> 0.558, reported in eV/atom.

---

<A>
DFT (GGA-PBE) results for a relaxed structure of TlCuP.

The density of states at the Fermi level is 2.89 states/eV per cell. For the spin magnetization, the calculation gives 0.00 μB per formula unit.

It has space group Imm2 (No. 44), with a = 2.989 Å, b = 3.594 Å, c = 11.690 Å, α = 90.00°, β = 90.00° and γ = 90.00°. The inequivalent atoms are Tl at (0.000, 0.000, 0.000), Cu at (0.000, 0.000, 0.266) and P at (0.000, 0.000, 0.724).

---

<B>
DFT (GGA-PBE) results for a relaxed structure of TlCuP.

The density of states at the Fermi level is 2.87 states/eV per cell. For the spin magnetization, the calculation gives 0.00 μB per formula unit.

It has space group P4/nmm (No. 129, origin choice 2), with a = 3.843 Å, b = 3.843 Å, c = 8.644 Å, α = 90.00°, β = 90.00° and γ = 90.00°. The inequivalent atoms are Tl at (0.250, 0.250, 0.163), Cu at (0.250, 0.750, 0.500) and P at (0.250, 0.250, 0.662).

---

Energies relative to the most stable structure are <A> 0.217; <B> 0.000, reported in eV/atom.

---

<A>
DFT (GGA-PBE) results for a relaxed structure of TlCuP.

The density of states at the Fermi level is 8.74 states/eV per cell. For the spin magnetization, the calculation gives 0.00 μB per formula unit.

It has space group F-43m (No. 216), with a = 6.205 Å, b = 6.205 Å, c = 6.205 Å, α = 90.00°, β = 90.00° and γ = 90.00°. The inequivalent atoms are Tl at (0.000, 0.000, 0.000), Cu at (0.250, 0.250, 0.750) and P at (0.000, 0.000, 0.500).

---

<B>
DFT (GGA-PBE) results for a relaxed structure of TlCuP.

The density of states at the Fermi level is 1.99 states/eV per cell. For the spin magnetization, the calculation gives 0.00 μB per formula unit.

It has space group P-6m2 (No. 187), with a = 3.9117 Å, b = 3.9117 Å, c = 4.8679 Å, α = 90.00°, β = 90.00° and γ = 120.00°. The inequivalent atoms are Tl at (0.0000, 0.0000, 0.0000), Cu at (0.3333, 0.6667, 0.5000) and P at (0.6667, 0.3333, 0.5000).

---

Energies relative to the most stable structure are <A> 0.265; <B> 0.000, reported in eV/atom.

---

<A>
DFT (GGA-PBE) results for a relaxed structure of VCuP2.

The density of states at the Fermi level is 16.11 states/eV per cell. For the spin magnetization, the calculation gives 1.25 μB per formula unit.

It has space group Fm-3m (No. 225), with a = 5.970 Å, b = 5.970 Å, c = 5.970 Å, α = 90.00°, β = 90.00° and γ = 90.00°. The inequivalent atoms are V at (0.000, 0.000, 0.000), Cu at (0.000, 0.000, 0.500) and P at (0.250, 0.250, 0.250).

---

<B>
DFT (GGA-PBE) results for a relaxed structure of VCuP2.

The density of states at the Fermi level is 3.59 states/eV per cell. For the spin magnetization, the calculation gives 0.00 μB per formula unit.

It has space group R-3m (No. 166, hexagonal axes), with a = 2.9759 Å, b = 2.9759 Å, c = 23.2228 Å, α = 90.00°, β = 90.00° and γ = 120.00°. The inequivalent atoms are V at (0.0000, 0.0000, 0.0000), Cu at (0.0000, 0.0000, 0.5000) and P at (0.0000, 0.0000, 0.4040).

---

<C>
DFT (GGA-PBE) results for a relaxed structure of VCuP2.

The density of states at the Fermi level is 6.77 states/eV per cell. For the spin magnetization, the calculation gives 0.00 μB per formula unit.

It has space group I-42d (No. 122), with a = 5.324 Å, b = 5.324 Å, c = 10.509 Å, α = 90.00°, β = 90.00° and γ = 90.00°. The inequivalent atoms are V at (0.000, 0.000, 0.000), Cu at (0.000, 0.000, 0.500) and P at (0.248, 0.250, 0.125).

---

Energies relative to the most stable structure are <A> 0.351; <B> 0.000; <C> 0.281, reported in eV/atom.

---

<A>
DFT (GGA-PBE) results for a relaxed structure of VCu3P.

The density of states at the Fermi level is 3.98 states/eV per cell. For the spin magnetization, the calculation gives 2.38 μB per formula unit.

It has space group Pm-3m (No. 221), with a = 4.518 Å, b = 4.518 Å, c = 4.518 Å, α = 90.00°, β = 90.00° and γ = 90.00°. The inequivalent atoms are V at (0.000, 0.000, 0.000), Cu at (0.000, 0.000, 0.500) and P at (0.500, 0.500, 0.500).

---

<B>
DFT (GGA-PBE) results for a relaxed structure of VCu3P.

The density of states at the Fermi level is 5.38 states/eV per cell. For the spin magnetization, the calculation gives 3.71 μB per formula unit.

It has space group Pm-3m (No. 221), with a = 4.300 Å, b = 4.300 Å, c = 4.300 Å, α = 90.00°, β = 90.00° and γ = 90.00°. The inequivalent atoms are V at (0.000, 0.000, 0.000), Cu at (0.000, 0.500, 0.500) and P at (0.500, 0.500, 0.500).

---

Energies relative to the most stable structure are <A> 1.019; <B> 0.000, reported in eV/atom.